5
Lattice="-0.192 -2.657 3.062 3.954 -0.799 -0.445 0.894 2.962 2.626" Properties=species:S:1:pos:R:3 comment="CrFeCo3, optimized geometry, DFT GGA-PBEsol" ef_ev_per_fu=6.64 pbc="T T T"
Cr 0.000 0.000 0.000
Co 1.977 -0.399 -0.222
Co 0.447 1.481 1.313
Co -0.096 -1.328 1.531
Fe 2.328 -0.247 2.622